DFT (PBE) results for a relaxed Pr8Te2C3 crystal.

Its total magnetization is 0.00 μB per formula unit. As for the formation energy from raw total energies: -0.458 eV/atom.

It has space group C2/m (No. 12), with a = 15.763 Å, b = 7.599 Å, c = 6.703 Å, α = 90.00°, β = 105.65° and γ = 90.00°. The asymmetric unit holds Pr at (0.093, 0.000, 0.394), Pr at (0.093, 0.241, 0.887), Pr at (0.094, 0.500, 0.415), Te at (0.246, 0.500, 0.176), C at (0.000, 0.000, 0.000) and C at (0.000, 0.248, 0.500).

DFT (PBE) results for a relaxed KLa2Pb2 crystal.

Its total magnetization is 0.48 μB per formula unit. For the excess energy over the best structure of this formula in the dataset, the calculation gives 0 meV per atom. The calculation puts the formation energy at -9.677 kcal/mol of atoms.

It has space group P4/mbm (No. 127), with a = 9.803 Å, b = 9.803 Å, c = 3.752 Å, α = 90.00°, β = 90.00° and γ = 90.00°. The asymmetric unit holds K at (0.000, 0.000, 0.000), La at (0.132, 0.368, 0.500) and Pb at (0.165, 0.665, 0.000).

DFT (PBE) results for a relaxed Pa2CoC crystal.

Its total magnetization is 0.00 μB per formula unit. For the excess energy over the best structure of this formula in the dataset, the calculation gives 179 meV per atom. The calculation puts the formation energy at -0.097 kcal/mol of atoms.

It has space group R-3m (No. 166, hexagonal axes), with a = 4.0631 Å, b = 4.0631 Å, c = 14.1163 Å, α = 90.00°, β = 90.00° and γ = 120.00°. The asymmetric unit holds Pa at (0.0000, 0.0000, 0.2354), Co at (0.0000, 0.0000, 0.0000) and C at (0.0000, 0.0000, 0.5000).

DFT (PBE) results for a relaxed HfSe3Br crystal.

Its total magnetization is 0.00 μB per formula unit. For the excess energy over the best structure of this formula in the dataset, the calculation gives 0 meV per atom. As for the formation energy from raw total energies: -0.280 eV/atom.

It has space group Pm-3m (No. 221), with a = 5.183 Å, b = 5.183 Å, c = 5.183 Å, α = 90.00°, β = 90.00° and γ = 90.00°. The asymmetric unit holds Hf at (0.000, 0.000, 0.000), Se at (0.000, 0.000, 0.500) and Br at (0.500, 0.500, 0.500).

DFT (PBE) results for a relaxed Ce4PrTe5 crystal.

Its total magnetization is 4.83 μB per formula unit. As for the formation energy from raw total energies: -1.380 eV/atom.

It has space group I4/mmm (No. 139), with a = 4.503 Å, b = 4.503 Å, c = 31.770 Å, α = 90.00°, β = 90.00° and γ = 90.00°. The asymmetric unit holds Ce at (0.000, 0.000, 0.100), Ce at (0.000, 0.000, 0.299), Pr at (0.000, 0.000, 0.500), Te at (0.000, 0.000, 0.000), Te at (0.000, 0.000, 0.200) and Te at (0.000, 0.000, 0.399).

DFT (PBE) results for a relaxed Ni8Mo3Pd2 crystal.

Its total magnetization is 0.16 μB per formula unit. The calculation puts the formation energy at 4.576 kcal/mol of atoms.

It has space group R-3m (No. 166, hexagonal axes), with a = 4.6313 Å, b = 4.6313 Å, c = 27.8579 Å, α = 90.00°, β = 90.00° and γ = 120.00°. The asymmetric unit holds Ni at (0.0000, 0.0000, 0.2282), Ni at (0.0003, 0.5002, 0.2707), Mo at (0.0000, 0.0000, 0.3157), Mo at (0.0000, 0.0000, 0.5000) and Pd at (0.0000, 0.0000, 0.1407).

DFT (PBE) results for a relaxed Tm3BiH2 crystal.

Its total magnetization is 0.11 μB per formula unit. As for the energy: -4.46 eV/atom.

It has space group C2/m (No. 12), with a = 21.750 Å, b = 3.924 Å, c = 6.106 Å, α = 90.00°, β = 104.19° and γ = 90.00°. The asymmetric unit holds Tm at (0.039, 0.000, 0.275), Tm at (0.100, 0.500, 0.859), Tm at (0.230, 0.000, 0.204), Bi at (0.151, 0.500, 0.415), H at (0.059, 0.000, 0.935) and H at (0.208, 0.500, 0.018).

DFT (PBE) results for a relaxed Ba3U2PbS9 crystal.

Its total magnetization is 2.00 μB per formula unit. As for the formation energy from raw total energies: -1.479 eV/atom.

It has space group P-3m1 (No. 164), with a = 7.2720 Å, b = 7.2720 Å, c = 9.9350 Å, α = 90.00°, β = 90.00° and γ = 120.00°. The asymmetric unit holds Ba at (0.0000, 0.0000, 0.0000), Ba at (0.3333, 0.6667, 0.7364), U at (0.3333, 0.6667, 0.1665), Pb at (0.0000, 0.0000, 0.5000), S at (0.0000, 0.5000, 0.0000) and S at (0.1631, 0.3262, 0.2981).

DFT (PBE) results for a relaxed Er2VNi crystal.

Its total magnetization is 3.09 μB per formula unit. The calculation puts the formation energy at 11.814 kcal/mol of atoms.

It has space group R-3m (No. 166, hexagonal axes), with a = 3.3429 Å, b = 3.3429 Å, c = 28.4600 Å, α = 90.00°, β = 90.00° and γ = 120.00°. The asymmetric unit holds Er at (0.0000, 0.0000, 0.1004), V at (0.0000, 0.0000, 0.0000) and Ni at (0.0000, 0.0000, 0.5000).

DFT (PBE) results for a relaxed La3CuIr crystal.

Its total magnetization is 0.00 μB per formula unit. For the excess energy over the best structure of this formula in the dataset, the calculation gives 0 meV per atom. The calculation puts the formation energy at -9.075 kcal/mol of atoms.

It has space group P-1 (No. 2), with a = 6.250 Å, b = 6.875 Å, c = 7.586 Å, α = 99.26°, β = 90.41° and γ = 115.39°. The asymmetric unit holds La at (0.070, 0.329, 0.146), La at (0.269, 0.321, 0.659), La at (0.423, 0.995, 0.235), Cu at (0.194, 0.668, 0.489) and Ir at (0.403, 0.653, 0.964).

> Number 8 is which compound?

Ba3U2PbS9

What did the fifth record say?
DFT (PBE) results for a relaxed Ce4PrTe5 crystal.

Its total magnetization is 4.83 μB per formula unit. As for the formation energy from raw total energies: -1.380 eV/atom.

It has space group I4/mmm (No. 139), with a = 4.503 Å, b = 4.503 Å, c = 31.770 Å, α = 90.00°, β = 90.00° and γ = 90.00°. The asymmetric unit holds Ce at (0.000, 0.000, 0.100), Ce at (0.000, 0.000, 0.299), Pr at (0.000, 0.000, 0.500), Te at (0.000, 0.000, 0.000), Te at (0.000, 0.000, 0.200) and Te at (0.000, 0.000, 0.399).

> What is the total magnetization in the fourth record?

0.00 μB per formula unit